! Dy2Th2Sc15 PBE-GGA optimized geometry; values from VASP
! Energy of formation from the pure elements, eV per atom: 0.264
! D(E_F), states/eV per atom: 2.188
&SYSTEM
  ibrav = 0, nat = 19, ntyp = 3
/
ATOMIC_SPECIES
Dy 162.50 Dy.upf
Th 232.04 Th.upf
Sc 44.96 Sc.upf
CELL_PARAMETERS angstrom
5.295 3.057 5.327
-5.295 3.057 5.327
0.000 -6.114 5.327
ATOMIC_POSITIONS angstrom
Dy 0.000 0.000 1.754
Dy 0.000 0.000 14.226
Th 0.000 0.000 5.594
Th 0.000 0.000 10.386
Sc -5.295 0.000 7.990
Sc -1.678 -3.208 5.327
Sc -2.648 1.529 2.663
Sc -3.617 0.151 5.327
Sc -2.510 -1.449 7.774
Sc 1.678 -3.208 5.327
Sc -1.939 3.057 5.327
Sc 0.000 -2.898 8.206
Sc -2.510 1.449 8.206
Sc 2.648 1.529 2.663
Sc 2.510 -1.449 7.774
Sc 0.000 2.898 7.774
Sc 3.617 0.151 5.327
Sc 1.939 3.057 5.327
Sc 2.510 1.449 8.206

=====

! Ti5InPd4 PBE-GGA optimized geometry; values from VASP
! Energy of formation from the pure elements, eV per atom: -0.218
! Excess energy over the best structure of this formula in the dataset, meV/atom: 208
! D(E_F), states/eV per atom: 1.021
&SYSTEM
  ibrav = 0, nat = 20, ntyp = 3
/
ATOMIC_SPECIES
Ti 47.87 Ti.upf
In 114.82 In.upf
Pd 106.42 Pd.upf
CELL_PARAMETERS angstrom
8.384 0.000 0.000
0.000 9.566 0.000
0.000 0.000 4.394
ATOMIC_POSITIONS angstrom
Ti 0.620 0.858 0.831
Ti 0.620 3.925 0.831
Ti 2.096 2.392 3.062
Ti 3.572 0.858 0.831
Ti 3.572 3.925 0.831
Ti 4.812 5.641 3.563
Ti 4.812 8.708 3.563
Ti 6.288 7.175 1.332
Ti 7.764 5.641 3.563
Ti 7.764 8.708 3.563
In 2.096 7.175 4.036
In 6.288 2.392 0.357
Pd 0.447 7.175 1.677
Pd 2.096 4.866 2.855
Pd 2.096 9.484 2.855
Pd 3.745 7.175 1.677
Pd 4.639 2.392 2.716
Pd 6.288 0.083 1.538
Pd 6.288 4.700 1.538
Pd 7.936 2.392 2.716

=====

! LiCaPdCl6 PBE-GGA optimized geometry; values from VASP
! Energy relative to the elements, uncorrected, meV/atom: -1303
! D(E_F), states/eV per atom: 0.184
&SYSTEM
  ibrav = 0, nat = 18, ntyp = 4
/
ATOMIC_SPECIES
Li 6.94 Li.upf
Ca 40.08 Ca.upf
Pd 106.42 Pd.upf
Cl 35.45 Cl.upf
CELL_PARAMETERS angstrom
6.293 0.000 0.000
0.000 6.293 0.000
0.000 0.000 11.309
ATOMIC_POSITIONS angstrom
Li 0.000 0.000 0.000
Li 3.146 3.146 5.654
Ca 0.000 0.000 7.640
Ca 3.146 3.146 1.985
Pd 0.000 0.000 3.766
Pd 3.146 3.146 9.420
Cl 1.118 1.118 1.993
Cl 1.169 1.169 5.459
Cl 1.290 1.290 9.578
Cl 1.856 4.437 3.924
Cl 1.978 4.315 11.114
Cl 2.028 4.265 7.647
Cl 4.265 2.028 7.647
Cl 4.315 1.978 11.114
Cl 4.437 1.856 3.924
Cl 5.002 5.002 9.578
Cl 5.124 5.124 5.459
Cl 5.174 5.174 1.993

=====

! LiZrCd2 PBE-GGA optimized geometry; values from VASP
! Energy of formation from the pure elements, eV per atom: -0.014
! Excess energy over the best structure of this formula in the dataset, meV/atom: 157
! D(E_F), states/eV per atom: 0.578
&SYSTEM
  ibrav = 0, nat = 4, ntyp = 3
/
ATOMIC_SPECIES
Li 6.94 Li.upf
Zr 91.22 Zr.upf
Cd 112.41 Cd.upf
CELL_PARAMETERS angstrom
-2.408 2.408 3.394
2.408 -2.408 3.394
2.408 2.408 -3.394
ATOMIC_POSITIONS angstrom
Li 0.000 0.000 0.000
Zr 0.000 2.408 1.697
Cd 2.408 0.000 1.697
Cd 0.000 0.000 3.394

=====

! PrSm2Y6 PBE-GGA optimized geometry; values from VASP
! Energy of formation from the pure elements, eV per atom: 0.094
! Excess energy over the best structure of this formula in the dataset, meV/atom: 0
! D(E_F), states/eV per atom: 1.376
&SYSTEM
  ibrav = 0, nat = 18, ntyp = 3
/
ATOMIC_SPECIES
Pr 140.91 Pr.upf
Sm 150.36 Sm.upf
Y 88.91 Y.upf
CELL_PARAMETERS angstrom
6.489 -7.148 0.000
6.489 7.148 0.000
-1.461 0.000 6.465
ATOMIC_POSITIONS angstrom
Pr 5.393 5.427 4.849
Pr 6.124 -5.427 1.616
Sm 3.765 0.366 4.067
Sm 4.496 -0.366 0.835
Sm 7.021 0.366 5.630
Sm 7.752 -0.366 2.397
Y 0.570 1.218 5.282
Y 2.981 2.868 1.748
Y 1.301 -1.218 2.049
Y 4.577 2.677 6.452
Y 6.210 2.677 3.245
Y 2.250 -2.868 4.980
Y 9.267 2.868 1.485
Y 5.307 -2.677 3.219
Y 6.940 -2.677 0.013
Y 10.216 1.218 4.416
Y 8.536 -2.868 4.717
Y 10.947 -1.218 1.183

=====

! Li2CaMg4 PBE-GGA optimized geometry; values from VASP
! Energy of formation from the pure elements, eV per atom: 0.003
! Excess energy over the best structure of this formula in the dataset, meV/atom: 28
! D(E_F), states/eV per atom: 0.517
&SYSTEM
  ibrav = 0, nat = 7, ntyp = 3
/
ATOMIC_SPECIES
Li 6.94 Li.upf
Ca 40.08 Ca.upf
Mg 24.30 Mg.upf
CELL_PARAMETERS angstrom
2.290 -8.418 0.000
2.290 8.418 0.000
0.000 0.000 4.504
ATOMIC_POSITIONS angstrom
Li 2.290 7.082 0.000
Li 2.290 -7.082 0.000
Ca 2.290 0.000 2.252
Mg 2.290 5.330 2.252
Mg 2.290 3.103 0.000
Mg 2.290 -3.103 0.000
Mg 2.290 -5.330 2.252

=====

! Rb2Li3F5 PBE-GGA optimized geometry; values from VASP
! Energy relative to the elements, uncorrected, meV/atom: -2798
! D(E_F), states/eV per atom: 0.000
&SYSTEM
  ibrav = 0, nat = 20, ntyp = 3
/
ATOMIC_SPECIES
Rb 85.47 Rb.upf
Li 6.94 Li.upf
F 19.00 F.upf
CELL_PARAMETERS angstrom
4.909 -7.748 0.000
4.909 7.748 0.000
-3.188 0.000 4.604
ATOMIC_POSITIONS angstrom
Rb 0.565 5.004 3.802
Rb 4.471 5.004 3.104
Rb 2.159 -5.004 1.500
Rb 6.065 -5.004 0.802
Li -0.575 0.634 3.008
Li 1.019 -0.634 0.706
Li 4.112 -0.001 1.151
Li 2.518 0.001 3.453
Li 5.610 0.634 3.899
Li 7.204 -0.634 1.596
F 4.112 -7.748 1.151
F 2.518 7.748 3.453
F -0.477 2.521 3.077
F 2.282 0.458 1.586
F 1.117 -2.521 0.775
F 0.688 -0.458 3.888
F 5.941 0.458 0.716
F 5.512 2.521 3.829
F 4.347 -0.458 3.018
F 7.107 -2.521 1.527

=====

! MgCr2Ni PBE-GGA optimized geometry; values from VASP
! Energy of formation from the pure elements, eV per atom: 0.267
! D(E_F), states/eV per atom: 0.986
&SYSTEM
  ibrav = 0, nat = 4, ntyp = 3
/
ATOMIC_SPECIES
Mg 24.30 Mg.upf
Cr 52.00 Cr.upf
Ni 58.69 Ni.upf
CELL_PARAMETERS angstrom
4.696 -1.481 0.000
4.696 1.481 0.000
-1.430 0.000 3.692
ATOMIC_POSITIONS angstrom
Mg 0.000 0.000 0.000
Cr 1.240 0.000 2.608
Cr 6.722 0.000 1.085
Ni 3.981 0.000 1.846

=====

! Pm6Ga6Si PBE-GGA optimized geometry; values from VASP
! Energy relative to the elements, uncorrected, meV/atom: -411
! D(E_F), states/eV per atom: 1.007
&SYSTEM
  ibrav = 0, nat = 13, ntyp = 3
/
ATOMIC_SPECIES
Pm 145.00 Pm.upf
Ga 69.72 Ga.upf
Si 28.09 Si.upf
CELL_PARAMETERS angstrom
6.081 0.000 0.000
-3.041 5.267 0.000
0.000 0.000 10.305
ATOMIC_POSITIONS angstrom
Pm 0.000 0.000 2.260
Pm 0.000 0.000 8.046
Pm 0.000 3.511 0.000
Pm 0.000 3.511 5.153
Pm 3.041 1.756 0.000
Pm 3.041 1.756 5.153
Ga -1.520 2.633 2.529
Ga -1.520 2.633 7.777
Ga 3.041 0.000 2.529
Ga 3.041 0.000 7.777
Ga 1.520 2.633 2.529
Ga 1.520 2.633 7.777
Si 0.000 0.000 5.153

=====

! HfTlGaI6 PBE-GGA optimized geometry; values from VASP
! Energy relative to the elements, uncorrected, meV/atom: -724
! D(E_F), states/eV per atom: 0.000
&SYSTEM
  ibrav = 0, nat = 18, ntyp = 4
/
ATOMIC_SPECIES
Hf 178.49 Hf.upf
Tl 204.38 Tl.upf
Ga 69.72 Ga.upf
I 126.90 I.upf
CELL_PARAMETERS angstrom
8.012 0.000 0.000
-4.006 6.939 0.000
0.000 0.000 14.598
ATOMIC_POSITIONS angstrom
Hf 0.000 4.626 3.650
Hf 4.006 2.313 10.949
Tl 0.000 0.000 0.000
Tl 0.000 0.000 7.299
Ga 0.000 4.626 10.949
Ga 4.006 2.313 3.650
I -1.242 2.650 1.997
I -2.333 4.539 5.302
I 1.242 2.650 5.302
I -1.091 6.690 1.997
I 2.916 0.249 9.296
I 1.674 2.400 12.601
I 2.333 4.539 1.997
I 1.091 6.690 5.302
I 5.097 0.249 12.601
I 2.764 4.289 9.296
I 6.339 2.400 9.296
I 5.248 4.289 12.601

=====

! CsRe3Br PBE-GGA optimized geometry; values from VASP
! Excess energy over the best structure of this formula in the dataset, meV/atom: 0
! Energy relative to the elements, uncorrected, meV/atom: 2827
! D(E_F), states/eV per atom: 1.015
&SYSTEM
  ibrav = 0, nat = 5, ntyp = 3
/
ATOMIC_SPECIES
Cs 132.91 Cs.upf
Re 186.21 Re.upf
Br 79.90 Br.upf
CELL_PARAMETERS angstrom
4.823 0.000 0.000
0.000 4.823 0.000
0.000 0.000 4.823
ATOMIC_POSITIONS angstrom
Cs 0.000 0.000 0.000
Re 0.000 2.412 2.412
Re 2.412 0.000 2.412
Re 2.412 2.412 0.000
Br 2.412 2.412 2.412

=====

! TaTc2Sb PBE-GGA optimized geometry; values from VASP
! Energy relative to the elements, uncorrected, meV/atom: 95
! D(E_F), states/eV per atom: 0.922
&SYSTEM
  ibrav = 0, nat = 4, ntyp = 3
/
ATOMIC_SPECIES
Ta 180.95 Ta.upf
Tc 98.00 Tc.upf
Sb 121.76 Sb.upf
CELL_PARAMETERS angstrom
4.370 -1.572 0.000
4.370 1.572 0.000
-1.143 0.000 5.029
ATOMIC_POSITIONS angstrom
Ta 0.000 0.000 0.000
Tc 1.374 0.000 3.851
Tc 6.223 0.000 1.177
Sb 3.798 0.000 2.514